Compound: GaH20C2S2NO14
Source: Alexandria
Functional: PBEsol
Structure: optimized geometry

Unit cell a=6.254 b=10.863 c=11.034 alpha=90.00 beta=103.02 gamma=90.00
Fractional coordinates of all 80 atoms:
H1 0.891 0.305 0.149
S1 0.329 0.676 0.497
O1 0.325 0.539 0.481
O2 0.100 0.718 0.496
O3 0.252 0.158 0.669
O4 0.890 0.759 0.883
C1 0.108 0.003 0.320
H2 0.899 0.969 0.563
H3 0.377 0.864 0.219
H4 0.067 0.508 0.135
O5 0.831 0.952 0.983
C2 0.892 0.503 0.680
H5 0.389 0.188 0.641
H6 0.954 0.053 0.316
O6 0.507 0.933 0.690
H7 0.572 0.477 0.891
S2 0.671 0.176 0.503
H8 0.933 0.008 0.865
H9 0.428 0.977 0.109
O7 0.006 0.557 0.196
N1 0.823 0.521 0.799
H10 0.401 0.523 0.070
H11 0.944 0.485 0.871
O8 0.748 0.658 0.331
Ga1 0.750 0.495 0.256
O9 0.753 0.334 0.174
Ga2 0.250 0.995 0.744
O10 0.994 0.057 0.804
O11 0.047 0.930 0.597
O12 0.402 0.273 0.004
H12 0.567 0.980 0.626
C3 0.390 0.962 0.201
H13 0.433 0.480 0.374
H14 0.494 0.842 0.662
H15 0.046 0.553 0.684
S3 0.825 0.813 0.994
H16 0.611 0.688 0.359
O13 0.551 0.559 0.101
H17 0.818 0.615 0.819
O14 0.169 0.452 0.017
H18 0.619 0.312 0.108
O15 0.493 0.433 0.310
H19 0.087 0.904 0.333
O16 0.020 0.279 0.890
O17 0.953 0.430 0.403
O18 0.595 0.234 0.606
H20 0.623 0.364 0.781
O19 0.405 0.734 0.394
H21 0.886 0.680 0.396
H22 0.056 0.985 0.129
O20 0.900 0.218 0.504
H23 0.506 0.342 0.338
O21 0.675 0.039 0.519
H24 0.994 0.646 0.165
H25 0.006 0.146 0.835
H26 0.101 0.469 0.437
H27 0.599 0.023 0.930
O22 0.475 0.707 0.618
O23 0.449 0.059 0.899
H28 0.913 0.404 0.667
C4 0.610 0.462 0.799
H29 0.515 0.005 0.275
O24 0.525 0.207 0.382
H30 0.935 0.346 0.440
O25 0.980 0.779 0.110
N2 0.177 0.021 0.201
H31 0.182 0.115 0.181
H32 0.109 0.805 0.851
O26 0.598 0.773 0.996
H33 0.381 0.812 0.892
H34 0.564 0.644 0.067
S4 0.175 0.313 0.006
H35 0.485 0.505 0.725
O27 0.247 0.834 0.826
O28 0.110 0.259 0.117
H36 0.436 0.144 0.933
H37 0.763 0.540 0.605
H38 0.114 0.180 0.604
H39 0.065 0.846 0.560
H40 0.237 0.040 0.395

## Properties
- Volume: 730.3 Å³ per cell
- Energy relative to the lowest polymorph listed for this composition: 0.149 eV per formula unit